An optimized crystal structure of Ac2SbCl. Source: Alexandria via LeMat-Bulk, functional PBE.

Geometry as POSCAR:
```
Ac2SbCl
1.0
4.503 0.000 0.000
2.251 3.900 0.000
2.251 1.300 8.158
Ac Sb Cl
2 1 1
Cartesian
2.251 1.300 6.218
2.251 1.300 1.922
6.754 3.900 8.119
4.503 2.600 4.136
```

**Relative energy among the computed polymorphs**: 8.7 kJ per mole of atoms
**SG**: No. 160
**Total magnetic moment**: 0.00 Bohr magnetons per cell
**Raw formation energy**: -1.24 eV/atom